Computed, not measured: an optimized crystal structure of BiPO4 at the GGA-PBE level of DFT.

Uncorrected energy in hartree per atom: -0.2490

abc: 7.0259 4.9318 4.8569
angles: 90.00 90.00 90.00
Fractional coordinates of all 12 atoms:
Bi  0.0000  0.1176  0.0000
Bi  0.5000  0.8824  0.5000
P  0.0000  0.6785  0.4584
P  0.5000  0.3215  0.9584
O  0.0000  0.3735  0.3986
O  0.0000  0.7053  0.7756
O  0.1730  0.8323  0.3226
O  0.3270  0.1677  0.8226
O  0.5000  0.2947  0.2756
O  0.5000  0.6265  0.8986
O  0.6730  0.1677  0.8226
O  0.8270  0.8323  0.3226



Computed, not measured: an optimized crystal structure of BiPO at the GGA-PBE level of DFT.

ΔE to the lowest computed polymorph in meV per atom: 629

abc: 9.2951 9.2951 9.2951
angles: 160.79 153.69 32.78
Fractional coordinates of all 6 atoms:
Bi  0.1747  0.1747  0.0000
Bi  0.8253  0.8253  0.0000
P  0.2517  0.0000  0.2517
P  0.7483  0.0000  0.7483
O  0.2987  0.2987  0.0000
O  0.7013  0.7013  0.0000



Computed, not measured: an optimized crystal structure of BiP4O12 at the GGA-PBE level of DFT.

ΔE to the lowest computed polymorph in meV per atom: 5

abc: 7.3554 8.5617 8.0180
angles: 90.00 91.63 90.00
Fractional coordinates of all 34 atoms:
Bi  0.2469  0.0000  0.2510
Bi  0.7531  0.5000  0.7490
P  0.0071  0.1458  0.6217
P  0.0955  0.4160  0.1002
P  0.3893  0.2456  0.5991
P  0.4322  0.6216  0.0979
P  0.5678  0.1216  0.9021
P  0.6107  0.7456  0.4009
P  0.9045  0.9160  0.8998
P  0.9929  0.6458  0.3783
O  0.0124  0.0345  0.7841
O  0.0182  0.4352  0.9259
O  0.0300  0.0463  0.4696
O  0.0911  0.2541  0.1721
O  0.1594  0.7481  0.3733
O  0.1825  0.2513  0.6617
O  0.3041  0.4716  0.1079
O  0.3233  0.7696  0.0726
O  0.3923  0.1927  0.4211
O  0.4254  0.0973  0.0299
O  0.4724  0.4009  0.6419
O  0.4760  0.1102  0.7177
O  0.5240  0.6102  0.2823
O  0.5276  0.9009  0.3581
O  0.5746  0.5973  0.9701
O  0.6077  0.6927  0.5789
O  0.6767  0.2696  0.9274
O  0.6959  0.9716  0.8921
O  0.8175  0.7513  0.3383
O  0.8406  0.2481  0.6267
O  0.9089  0.7541  0.8279
O  0.9700  0.5463  0.5304
O  0.9818  0.9352  0.0741
O  0.9876  0.5345  0.2159



Computed, not measured: an optimized crystal structure of BiPO at the GGA-PBE level of DFT.

ΔE to the lowest computed polymorph in meV per atom: 317

abc: 3.3226 4.2888 4.7309
angles: 90.00 110.28 90.00
Fractional coordinates of all 3 atoms:
Bi  0.0000  0.0000  0.0000
P  0.3564  0.5000  0.7117
O  0.1837  0.5000  0.3610



Number 1: ρ 6.0 g/cm3. Number 2: ρ 7.3 g/cm3. Number 3: ρ 3.5 g/cm3. Number 4: ρ 6.7 g/cm3.